# 1
This record from OQMD describes an optimized crystal structure of NaTbHgTe3. The functional is PBE-GGA.

```
NaTbHgTe3
1.0
-2.7660 4.0872 7.1414
-3.4715 -2.7308 0.2184
6.3028 -7.7185 3.6745
Hg Na Tb Te
2 2 2 6
Cartesian
-1.2645 -3.4013 4.5317
1.3298 -2.9608 6.5026
-1.2345 0.2709 6.1513
1.2998 -6.6330 4.8829
-0.4375 -1.0859 1.8541
0.5028 -5.2762 9.1801
-2.9537 -1.3184 3.7251
-4.2136 0.5762 7.3872
1.3993 -3.2965 3.4095
-1.3339 -3.0656 7.6248
4.2790 -6.9383 3.6470
3.0190 -5.0438 7.3092
```

For the total energy, the calculation gives -0.12763 hartree per atom. The total moment is 0.0015 μB per atom. For the density, the calculation gives 6.432 g cm⁻³. The energy above the most stable polymorph in this dataset comes out at 0.006 eV per atom.

***

# 2
This record from OQMD describes an optimized crystal structure of BaSiAg2Te3Se. The functional is PBE-GGA.

```
BaSiAg2Te3Se
1.0
-3.2927 -2.1773 -5.5592
6.2245 1.2638 -2.6012
0.1894 -4.5454 5.2294
Ag Ba Se Si Te
2 1 1 1 3
Cartesian
3.7386 -1.7258 -0.1467
-0.6311 -3.6864 -2.6921
-3.2368 -2.1644 -5.5366
0.1575 -1.2806 -5.9544
1.3913 -0.5118 -4.1697
1.6595 -2.2418 -2.3317
0.5084 -2.9533 2.0033
3.9492 -4.4468 0.3956
```

For the total energy, the calculation gives -0.14043 hartree per atom. For the density, the calculation gives 5.650 g cm⁻³.

***

Q: What is the density in the first record?
A: 6.432 g cm⁻³

***

Q: What is the density in the first record?
A: 6.432 g cm⁻³

***

Q: Number 2 is which compound?
A: BaSiAg2Te3Se